Record 1
First-principles (PBE) data for a relaxed structure of TaAg2Ru, as listed in Alexandria.

CIF file:
```
data_TaAg2Ru
_cell_length_a 6.4435
_cell_length_b 6.4435
_cell_length_c 6.4435
_cell_angle_alpha 90.00
_cell_angle_beta 90.00
_cell_angle_gamma 90.00
_space_group_name_H-M_alt 'F -4 3 m'
_space_group_IT_number 216
_space_group_name_Hall 'F -4 2 3'
loop_
_atom_site_label
_atom_site_fract_x
_atom_site_fract_y
_atom_site_fract_z
Ta1 0.0000 0.0000 0.0000
Ag1 0.0000 0.0000 0.5000
Ag2 0.2500 0.2500 0.2500
Ru1 0.2500 0.2500 0.7500
```

Values from the calculation:
E_tot in eV/atom: -6.370
Energy above the lowest structure with this stoichiometry in kJ/mol of formula units: 80
M_tot in μB/atom: 0.000
Energy of formation in meV per atom: 338
Crystal system: cubic

Record 2
First-principles (PBE) data for a relaxed structure of Ta2AgRu2, as listed in Alexandria.

CIF file:
```
data_Ta2AgRu2
_cell_length_a 7.6348
_cell_length_b 7.6348
_cell_length_c 2.9648
_cell_angle_alpha 90.00
_cell_angle_beta 90.00
_cell_angle_gamma 90.00
_space_group_name_H-M_alt 'P 4/m b m'
_space_group_IT_number 127
_space_group_name_Hall '-P 4 2ab'
loop_
_atom_site_label
_atom_site_fract_x
_atom_site_fract_y
_atom_site_fract_z
Ta1 0.1451 0.3549 0.0000
Ag1 0.0000 0.0000 0.0000
Ru1 0.1488 0.6488 0.5000
```

Values from the calculation:
E_tot in eV/atom: -8.980
Energy above the lowest structure with this stoichiometry in kJ/mol of formula units: 54
M_tot in μB/atom: 0.000
Energy of formation in meV per atom: 42
Crystal system: tetragonal

Record 3
First-principles (PBE) data for a relaxed structure of TaAg2Ru, as listed in Alexandria.

CIF file:
```
data_TaAg2Ru
_cell_length_a 5.3198
_cell_length_b 10.1534
_cell_length_c 2.9686
_cell_angle_alpha 90.00
_cell_angle_beta 121.46
_cell_angle_gamma 90.00
_space_group_name_H-M_alt 'C 1 2/m 1'
_space_group_IT_number 12
loop_
_space_group_symop_operation_xyz
'x,y,z'
'-x,-y,-z'
'-x,y,-z'
'x,-y,z'
'x+1/2,y+1/2,z'
'-x+1/2,-y+1/2,-z'
'-x+1/2,y+1/2,-z'
'x+1/2,-y+1/2,z'
loop_
_atom_site_label
_atom_site_fract_x
_atom_site_fract_y
_atom_site_fract_z
Ta1 0.0000 0.0000 0.0000
Ag1 0.2500 0.2500 0.5000
Ru1 0.0000 0.5000 0.0000
```

Values from the calculation:
E_tot in eV/atom: -6.353
Energy above the lowest structure with this stoichiometry in kJ/mol of formula units: 86
M_tot in μB/atom: 0.000
Energy of formation in meV per atom: 355
Crystal system: monoclinic

Record 4
First-principles (PBE) data for a relaxed structure of TaAg2Ru, as listed in Alexandria.

CIF file:
```
data_TaAg2Ru
_cell_length_a 2.8504
_cell_length_b 5.0457
_cell_length_c 4.7332
_cell_angle_alpha 90.00
_cell_angle_beta 94.31
_cell_angle_gamma 90.00
_space_group_name_H-M_alt 'P 1 2/m 1'
_space_group_IT_number 10
loop_
_space_group_symop_operation_xyz
'x,y,z'
'-x,-y,-z'
'-x,y,-z'
'x,-y,z'
loop_
_atom_site_label
_atom_site_fract_x
_atom_site_fract_y
_atom_site_fract_z
Ta1 0.0000 0.0000 0.0000
Ag1 0.2595 0.5000 0.7478
Ru1 0.5000 0.0000 0.5000
```

Values from the calculation:
E_tot in eV/atom: -6.362
Energy above the lowest structure with this stoichiometry in kJ/mol of formula units: 83
M_tot in μB/atom: 0.094
Energy of formation in meV per atom: 345
Crystal system: monoclinic

Record 5
First-principles (PBE) data for a relaxed structure of TaAg2Ru, as listed in Alexandria.

CIF file:
```
data_TaAg2Ru
_cell_length_a 3.5691
_cell_length_b 3.5691
_cell_length_c 5.3357
_cell_angle_alpha 90.00
_cell_angle_beta 90.00
_cell_angle_gamma 90.00
_space_group_name_H-M_alt 'P 4/m m m'
_space_group_IT_number 123
_space_group_name_Hall '-P 4 2'
loop_
_atom_site_label
_atom_site_fract_x
_atom_site_fract_y
_atom_site_fract_z
Ta1 0.0000 0.0000 0.0000
Ag1 0.5000 0.5000 0.2524
Ru1 0.0000 0.0000 0.5000
```

Values from the calculation:
E_tot in eV/atom: -6.149
Energy above the lowest structure with this stoichiometry in kJ/mol of formula units: 165
M_tot in μB/atom: 0.156
Energy of formation in meV per atom: 559
Crystal system: tetragonal

Record 6
First-principles (PBE) data for a relaxed structure of TaAgTe2Ru, as listed in Alexandria.

CIF file:
```
data_TaAgTe2Ru
_cell_length_a 5.4119
_cell_length_b 5.4119
_cell_length_c 4.7311
_cell_angle_alpha 90.00
_cell_angle_beta 90.00
_cell_angle_gamma 90.00
_space_group_name_H-M_alt 'P 4/m m m'
_space_group_IT_number 123
_space_group_name_Hall '-P 4 2'
loop_
_atom_site_label
_atom_site_fract_x
_atom_site_fract_y
_atom_site_fract_z
Ta1 0.0000 0.0000 0.0000
Ag1 0.5000 0.5000 0.5000
Te1 0.0000 0.5000 0.0000
Ru1 0.0000 0.0000 0.5000
```

Values from the calculation:
E_tot in eV/atom: -5.144
M_tot in μB/atom: 0.000
ΔE_f (raw) in meV/atom: 909
Crystal system: tetragonal

Record 7
First-principles (PBE) data for a relaxed structure of Y2TaAgRu, as listed in Alexandria.

CIF file:
```
data_Y2TaAgRu
_cell_length_a 5.2890
_cell_length_b 5.2890
_cell_length_c 4.9290
_cell_angle_alpha 90.00
_cell_angle_beta 90.00
_cell_angle_gamma 90.00
_space_group_name_H-M_alt 'P 4/m m m'
_space_group_IT_number 123
_space_group_name_Hall '-P 4 2'
loop_
_atom_site_label
_atom_site_fract_x
_atom_site_fract_y
_atom_site_fract_z
Y1 0.0000 0.5000 0.0000
Ta1 0.0000 0.0000 0.5000
Ag1 0.0000 0.0000 0.0000
Ru1 0.5000 0.5000 0.5000
```

Values from the calculation:
E_tot in eV/atom: -6.036
M_tot in μB/atom: 0.004
Energy of formation in meV per atom: 1346
Crystal system: tetragonal

Record 8
First-principles (PBE) data for a relaxed structure of Tb6Ag5Ru, as listed in Alexandria.

CIF file:
```
data_Tb6Ag5Ru
_cell_length_a 5.1044
_cell_length_b 7.2430
_cell_length_c 8.0597
_cell_angle_alpha 90.00
_cell_angle_beta 108.31
_cell_angle_gamma 90.00
_space_group_name_H-M_alt 'P 1 2/m 1'
_space_group_IT_number 10
loop_
_space_group_symop_operation_xyz
'x,y,z'
'-x,-y,-z'
'-x,y,-z'
'x,-y,z'
loop_
_atom_site_label
_atom_site_fract_x
_atom_site_fract_y
_atom_site_fract_z
Tb1 0.0000 0.2341 0.0000
Tb2 0.3424 0.2420 0.6834
Ag1 0.1659 0.5000 0.3340
Ag2 0.1735 0.0000 0.3486
Ag3 0.5000 0.5000 0.0000
Ru1 0.5000 0.0000 0.0000
```

Values from the calculation:
E_tot in eV/atom: -4.606
M_tot in μB/atom: 0.000
Energy of formation in meV per atom: -330
Crystal system: monoclinic

Record 9
First-principles (PBE) data for a relaxed structure of Tb8AgRu5, as listed in Alexandria.

CIF file:
```
data_Tb8AgRu5
_cell_length_a 8.7010
_cell_length_b 8.7010
_cell_length_c 8.5314
_cell_angle_alpha 90.00
_cell_angle_beta 90.00
_cell_angle_gamma 90.00
_space_group_name_H-M_alt 'I -4'
_space_group_IT_number 82
loop_
_space_group_symop_operation_xyz
'x,y,z'
'y,-x,-z'
'-x,-y,z'
'-y,x,-z'
'x+1/2,y+1/2,z+1/2'
'y+1/2,-x+1/2,-z+1/2'
'-x+1/2,-y+1/2,z+1/2'
'-y+1/2,x+1/2,-z+1/2'
loop_
_atom_site_label
_atom_site_fract_x
_atom_site_fract_y
_atom_site_fract_z
Tb1 0.0661 0.3264 0.0607
Tb2 0.0691 0.1894 0.6737
Ag1 0.0000 0.0000 0.0000
Ru1 0.0000 0.5000 0.7500
Ru2 0.1529 0.2507 0.3640
```

Values from the calculation:
E_tot in eV/atom: -6.381
M_tot in μB/atom: 0.000
Energy of formation in meV per atom: -219
Crystal system: tetragonal

Record 10
First-principles (PBE) data for a relaxed structure of Tb4AgRu, as listed in Alexandria.

CIF file:
```
data_Tb4AgRu
_cell_length_a 13.5383
_cell_length_b 13.5383
_cell_length_c 13.5383
_cell_angle_alpha 90.00
_cell_angle_beta 90.00
_cell_angle_gamma 90.00
_space_group_name_H-M_alt 'F -4 3 m'
_space_group_IT_number 216
_space_group_name_Hall 'F -4 2 3'
loop_
_atom_site_label
_atom_site_fract_x
_atom_site_fract_y
_atom_site_fract_z
Tb1 0.0000 0.0000 0.1885
Tb2 0.0601 0.2500 0.7500
Tb3 0.0981 0.0981 0.4019
Ag1 0.1683 0.1683 0.1683
Ru1 0.1107 0.1107 0.6107
```

Values from the calculation:
E_tot in eV/atom: -5.405
Energy above the lowest structure with this stoichiometry in kJ/mol of formula units: 0
M_tot in μB/atom: 0.000
Energy of formation in meV per atom: -297
Crystal system: cubic

Repeat the sixth record exactly.
First-principles (PBE) data for a relaxed structure of TaAgTe2Ru, as listed in Alexandria.

CIF file:
```
data_TaAgTe2Ru
_cell_length_a 5.4119
_cell_length_b 5.4119
_cell_length_c 4.7311
_cell_angle_alpha 90.00
_cell_angle_beta 90.00
_cell_angle_gamma 90.00
_space_group_name_H-M_alt 'P 4/m m m'
_space_group_IT_number 123
_space_group_name_Hall '-P 4 2'
loop_
_atom_site_label
_atom_site_fract_x
_atom_site_fract_y
_atom_site_fract_z
Ta1 0.0000 0.0000 0.0000
Ag1 0.5000 0.5000 0.5000
Te1 0.0000 0.5000 0.0000
Ru1 0.0000 0.0000 0.5000
```

Values from the calculation:
E_tot in eV/atom: -5.144
M_tot in μB/atom: 0.000
ΔE_f (raw) in meV/atom: 909
Crystal system: tetragonal